[1]
Entry from the Alexandria database: crystalline FePWCl2 at its relaxed geometry (PBE).

Lattice parameters (Å, degrees): 4.7532 4.7532 4.8206 90.00 90.00 90.00
Each line ends with the local moment (μB).
Element x y z (fractional)
P 0.0000 0.0000 0.5000  -0.04
Fe 0.5000 0.5000 0.5000  3.39
W 0.0000 0.0000 0.0000  0.18
Cl 0.0000 0.5000 0.0000  0.03
Cl 0.5000 0.0000 0.0000  0.03

## Properties
- DOS(E_F): 8.705 states/eV/cell
- Symmetry: No. 123
- Uncorrected formation energy: 0.751 eV per atom
- M_tot: 4.0 μB/f.u.
- Crystal system: tetragonal
- ΔE to the lowest computed polymorph: 0 meV per atom

[2]
Entry from the Alexandria database: crystalline NaGaI2Br at its relaxed geometry (PBE).

Lattice parameters (Å, degrees): 5.8346 5.8346 5.3166 90.00 90.00 90.00
Element x y z (fractional)
I 0.0000 0.5000 0.0000
I 0.5000 0.0000 0.0000
Na 0.5000 0.5000 0.5000
Ga 0.0000 0.0000 0.0000
Br 0.0000 0.0000 0.5000

## Properties
- DOS(E_F): 1.482 states/eV/cell
- Symmetry: No. 123
- Uncorrected formation energy: -0.674 eV per atom
- M_tot: 0.0 μB/f.u.
- Crystal system: tetragonal

> Which of these has the lowest uncorrected formation energy?

NaGaI2Br

Repeat the first record exactly.
Entry from the Alexandria database: crystalline FePWCl2 at its relaxed geometry (PBE).

Lattice parameters (Å, degrees): 4.7532 4.7532 4.8206 90.00 90.00 90.00
Each line ends with the local moment (μB).
Element x y z (fractional)
P 0.0000 0.0000 0.5000  -0.04
Fe 0.5000 0.5000 0.5000  3.39
W 0.0000 0.0000 0.0000  0.18
Cl 0.0000 0.5000 0.0000  0.03
Cl 0.5000 0.0000 0.0000  0.03

## Properties
- DOS(E_F): 8.705 states/eV/cell
- Symmetry: No. 123
- Uncorrected formation energy: 0.751 eV per atom
- M_tot: 4.0 μB/f.u.
- Crystal system: tetragonal
- ΔE to the lowest computed polymorph: 0 meV per atom

Please write out number 1 again, unchanged.
Entry from the Alexandria database: crystalline FePWCl2 at its relaxed geometry (PBE).

Lattice parameters (Å, degrees): 4.7532 4.7532 4.8206 90.00 90.00 90.00
Each line ends with the local moment (μB).
Element x y z (fractional)
P 0.0000 0.0000 0.5000  -0.04
Fe 0.5000 0.5000 0.5000  3.39
W 0.0000 0.0000 0.0000  0.18
Cl 0.0000 0.5000 0.0000  0.03
Cl 0.5000 0.0000 0.0000  0.03

## Properties
- DOS(E_F): 8.705 states/eV/cell
- Symmetry: No. 123
- Uncorrected formation energy: 0.751 eV per atom
- M_tot: 4.0 μB/f.u.
- Crystal system: tetragonal
- ΔE to the lowest computed polymorph: 0 meV per atom